No. 1
A plane-wave DFT calculation with GGA-PBE was carried out for a geometry-optimized GePd5Pt2 structure.

Values from the calculation:
Its formation energy is -0.20 eV per atom. For the total energy, the calculation gives -5.5354 eV/atom.

Geometry as POSCAR:
```
GePd5Pt2
1.0
-1.5592 3.5564 0.4599
-1.0967 -3.0930 3.5765
11.7277 4.2061 7.2339
Ge Pt Pd
2 4 10
Cartesian
2.3428 0.6387 3.0036
6.7290 4.0307 8.2667
2.3590 2.5848 4.6333
8.9915 2.9020 8.0425
0.0803 1.7675 3.2278
6.7128 2.0847 6.6370
4.8851 3.6165 5.2191
1.2446 -0.1309 5.2316
4.4791 3.0752 8.0280
0.9616 0.2919 1.0026
-0.9453 -0.7876 2.8857
10.0171 5.4571 8.3846
8.1102 4.3775 10.2677
7.8272 4.8004 6.0387
4.5927 1.5942 3.2423
4.1867 1.0530 6.0513
```

=====

No. 2
A plane-wave DFT calculation with GGA-PBE was carried out for a geometry-optimized Ge2PdPt2 structure.

Values from the calculation:
Its formation energy is -0.31 eV per atom. For the total energy, the calculation gives -5.6124 eV/atom.

Geometry as POSCAR:
```
Ge2PdPt2
1.0
-1.7467 -4.2423 4.7638
0.7213 -5.0108 -4.2561
4.0910 2.8424 0.8772
Pd Pt Ge
2 4 4
Cartesian
1.5103 -4.2274 -3.1827
1.5553 -2.1833 4.5676
3.3959 -0.0688 1.7848
-0.3303 -6.3420 -0.3999
1.7801 -1.6237 -0.2244
1.2854 -4.7870 1.6093
0.8521 -4.0225 -0.7771
2.2135 -2.3883 2.1620
-0.2722 -3.6724 3.3321
3.3378 -2.7383 -1.9472
```